Computed, not measured: a geometry-optimized CaEr2Cd structure at the PBE level of DFT.

a = 4.9673 Å, b = 4.9673 Å, c = 4.7144 Å
α = 90.00°, β = 90.00°, γ = 90.00°
With the nearest neighbours (Å) after each atom.
Space group P4/mmm (No. 123)
Symmetry-distinct sites (fractional):
Ca1 0.0000 0.0000 0.0000 (multiplicity 1)  8 Er 3.42, 4 Cd 3.51
Er1 0.0000 0.5000 0.5000 (multiplicity 2)  4 Cd 3.42, 4 Ca 3.42, 4 Er 3.51
Cd1 0.5000 0.5000 0.0000 (multiplicity 1)  8 Er 3.42, 4 Ca 3.51

Volume   116.3 Å³ per cell
Density of states at the Fermi level   1.078 states/eV per atom
Formation energy from the elements   -0.02 eV/atom
Energy above the lowest structure with this stoichiometry   0.136 eV/f.u.



Computed, not measured: a geometry-optimized CaEr7Cd4 structure at the PBE level of DFT.

a = 14.5959 Å, b = 5.6875 Å, c = 9.6951 Å
α = 90.00°, β = 121.98°, γ = 90.00°
With the nearest neighbours (Å) after each atom.
Space group C2/m (No. 12)
Symmetry-distinct sites (fractional):
Ca1 0.0000 0.0000 0.0000 (multiplicity 2)  2 Er 2.84
Er1 0.0000 0.5000 0.0000 (multiplicity 2)  2 Ca 2.84, 4 Cd 2.93-3.16
Er2 0.0744 0.0000 0.4216 (multiplicity 4)  3 Cd 3.07-3.21, 1 Er 3.24
Er3 0.2089 0.0000 0.8801 (multiplicity 4)  3 Cd 3.29-3.54, 5 Er 3.46-3.58
Er4 0.2374 0.5000 0.6927 (multiplicity 4)  4 Cd 2.96-3.17
Cd1 0.0415 0.5000 0.7117 (multiplicity 4)  4 Er 2.96-3.21, 1 Cd 3.00
Cd2 0.1797 0.5000 0.3398 (multiplicity 4)  5 Er 2.93-3.17, 1 Cd 3.00

Volume   682.7 Å³ per cell
Density of states at the Fermi level   1.023 states/eV per atom
Formation energy from the elements   0.05 eV/atom



Computed, not measured: a geometry-optimized CaEr3Cd4 structure at the PBE level of DFT.

a = 5.2696 Å, b = 5.2696 Å, c = 7.5007 Å
α = 90.00°, β = 90.00°, γ = 90.00°
With the nearest neighbours (Å) after each atom.
Space group P4/mmm (No. 123)
Symmetry-distinct sites (fractional):
Ca1 0.0000 0.0000 0.0000 (multiplicity 1)  8 Cd 3.26
Er1 0.0000 0.0000 0.5000 (multiplicity 1)  8 Cd 3.21
Er2 0.5000 0.5000 0.0000 (multiplicity 1)  8 Cd 3.26
Er3 0.5000 0.5000 0.5000 (multiplicity 1)  8 Cd 3.21
Cd1 0.0000 0.5000 0.2552 (multiplicity 4)  6 Er 3.21-3.26, 2 Ca 3.26

Volume   208.3 Å³ per cell
Density of states at the Fermi level   0.566 states/eV per atom
Formation energy from the elements   -0.33 eV/atom



Computed, not measured: a geometry-optimized CaErCd4 structure at the PBE level of DFT.

a = 8.3995 Å, b = 8.3995 Å, c = 8.3995 Å
α = 90.00°, β = 90.00°, γ = 90.00°
With the nearest neighbours (Å) after each atom.
Space group F-43m (No. 216)
Symmetry-distinct sites (fractional):
Ca1 0.0000 0.0000 0.0000 (multiplicity 4)  12 Cd 3.48, 4 Er 3.64
Er1 0.2500 0.2500 0.7500 (multiplicity 4)  12 Cd 3.48, 4 Ca 3.64
Cd1 0.1246 0.1246 0.3754 (multiplicity 16)  6 Cd 2.96-2.98

Volume   592.6 Å³ per cell
Density of states at the Fermi level   0.811 states/eV per atom
Formation energy from the elements   -0.25 eV/atom
Energy above the lowest structure with this stoichiometry   0.397 eV/f.u.